Pm2BSb (PBE, relaxed); energy = -5.041 eV per atom; volume = 97 Å³ per cell; E_form (uncorrected) = 0.03 eV/atom
1.0
5.418 0.000 0.000
0.000 5.418 0.000
0.000 0.000 3.307
Pm B Sb
2 1 1
Cartesian
0.000 2.709 0.000
2.709 0.000 0.000
0.000 0.000 1.653
2.709 2.709 1.653